Record 1
Computed, not measured: a geometry-optimized Ti2Be4Nb2P structure at the PBE level of DFT.

Cell: 5.7382 5.7382 5.7382 Å, 84.08 123.47 123.47°
Element x y z (fractional)
Ti  0.5000  0.7500  0.2500
Ti  0.5000  0.2500  0.7500
Be  0.0000  0.7200  0.2800
Be  0.4400  0.7200  0.7200
Be  0.0000  0.2800  0.7200
Be  0.5600  0.2800  0.2800
Nb  0.0000  0.7277  0.7277
Nb  0.0000  0.2723  0.2723
P  0.0000  0.0000  0.0000

Results
E_form   0.0625 eV per atom
Final energy   -55.68 eV for the cell shown
Total moment   0.000 μB/atom

=====

Record 2
Computed, not measured: a geometry-optimized PaBeNb structure at the PBE level of DFT.

Cell: 3.6459 4.2333 4.2333 Å, 120.00 90.00 90.00°
Element x y z (fractional)
Be  0.1666  0.3333  0.6667
Nb  0.1667  0.0000  0.0000
Pa  0.6667  0.6667  0.3333

Results
E_form   0.3232 eV per atom
Final energy   -22.32 eV for the cell shown
Total moment   0.000 μB/atom

=====

Record 3
Computed, not measured: a geometry-optimized PaBeNb structure at the PBE level of DFT.

Cell: 4.7093 6.3124 6.3124 Å, 120.00 90.00 90.00°
Element x y z (fractional)
Nb  0.5000  0.6667  0.3333
Nb  0.5000  0.3333  0.6667
Nb  0.0000  0.0000  0.0000
Pa  0.0000  0.5160  0.5160
Pa  0.0000  0.0000  0.4840
Pa  0.0000  0.4840  0.0000
Be  0.5000  0.0000  0.8008
Be  0.5000  0.8008  0.0000
Be  0.5000  0.1992  0.1992

Results
E_form   0.2194 eV per atom
Final energy   -67.90 eV for the cell shown
Total moment   0.000 μB/atom

=====

Record 4
Computed, not measured: a geometry-optimized PaBe4Nb structure at the PBE level of DFT.

Cell: 4.8350 4.8350 4.8350 Å, 60.00 60.00 60.00°
Each line ends with the local moment (μB).
Element x y z (fractional)
Be  0.6242  0.6242  0.1275  0.00
Be  0.6242  0.1275  0.6242  0.00
Be  0.6242  0.6242  0.6242  0.00
Be  0.1275  0.6242  0.6242  0.00
Nb  0.2500  0.2500  0.2500  0.14
Pa  0.0000  0.0000  0.0000  0.11

Results
E_form   0.0721 eV per atom
Final energy   -34.04 eV for the cell shown
Total moment   0.048 μB/atom

=====

Record 5
Computed, not measured: a geometry-optimized PaBeNb structure at the PBE level of DFT.

Cell: 2.9178 2.9178 6.5531 Å, 102.86 102.86 90.00°
Element x y z (fractional)
Be  0.6782  0.6782  0.3564
Nb  0.3090  0.3090  0.6180
Pa  0.0128  0.0128  0.0256

Results
E_form   0.1452 eV per atom
Final energy   -22.86 eV for the cell shown
Total moment   0.000 μB/atom

=====

Record 6
Computed, not measured: a geometry-optimized Pa2Be2NbRu5 structure at the PBE level of DFT.

Cell: 3.2406 9.7673 9.7673 Å, 90.00 90.00 90.00°
Element x y z (fractional)
Pa  0.0000  0.6743  0.1743
Pa  0.0000  0.3257  0.8257
Pa  0.0000  0.1743  0.3257
Pa  0.0000  0.8257  0.6743
Be  0.0000  0.1206  0.6206
Be  0.0000  0.8794  0.3794
Be  0.0000  0.6206  0.8794
Be  0.0000  0.3794  0.1206
Nb  0.0000  0.0000  0.0000
Nb  0.0000  0.5000  0.5000
Ru  0.5000  0.2122  0.0722
Ru  0.5000  0.7878  0.9278
Ru  0.5000  0.0722  0.7878
Ru  0.5000  0.7122  0.4278
Ru  0.5000  0.9278  0.2122
Ru  0.5000  0.2878  0.5722
Ru  0.5000  0.5722  0.7122
Ru  0.5000  0.4278  0.2878
Ru  0.5000  0.5000  0.0000
Ru  0.5000  0.0000  0.5000

Results
E_form   -0.5173 eV per atom
Final energy   -176.13 eV for the cell shown
Total moment   0.000 μB/atom

=====

Record 7
Computed, not measured: a geometry-optimized Pa2Be4NbSi3 structure at the PBE level of DFT.

Cell: 3.8503 3.8503 10.0910 Å, 90.00 90.00 90.00°
Element x y z (fractional)
Pa  0.5000  0.0000  0.2372
Pa  0.0000  0.5000  0.7628
Be  0.5000  0.5000  0.0000
Be  0.0000  0.0000  0.0000
Be  0.5000  0.0000  0.6553
Be  0.0000  0.5000  0.3447
Nb  0.5000  0.5000  0.5000
Si  0.0000  0.0000  0.5000
Si  0.5000  0.0000  0.8752
Si  0.0000  0.5000  0.1248

Results
Final energy   -63.04 eV for the cell shown
E_form (uncorrected)   -27.09 kJ per mole of atoms
Total moment   0.000 μB/atom

=====

Record 8
Computed, not measured: a geometry-optimized PaBe5NbSi2 structure at the PBE level of DFT.

Cell: 3.7895 3.7895 8.6177 Å, 90.00 90.00 90.00°
Element x y z (fractional)
Pa  0.0000  0.0000  0.5000
Be  0.0000  0.5000  0.2610
Be  0.5000  0.0000  0.2610
Be  0.0000  0.5000  0.7390
Be  0.5000  0.0000  0.7390
Be  0.5000  0.5000  0.5000
Nb  0.0000  0.0000  0.0000
Si  0.5000  0.5000  0.1321
Si  0.5000  0.5000  0.8679

Results
Final energy   -45.84 eV for the cell shown
E_form (uncorrected)   34.31 kJ per mole of atoms
Total moment   0.000 μB/atom

=====

- Number 2 is which compound?
  PaBeNb

=====

- Which of these has the lowest final energy?
  Pa2Be2NbRu5

=====

- The highest final energy belongs to which entry?
  number 2